Entry 1:
Material: RbNa2RhO4
Method: DFT, PBE
State: relaxed

a = 7.010 Å, b = 7.010 Å, c = 8.319 Å
α = 126.38°, β = 126.38°, γ = 73.65°
Each line ends with the local moment (μB).
Positions (direct):
Rb: 0.000 0.500 0.000  0.01
Rb: 0.000 0.500 0.500  0.01
Na: 0.500 0.000 0.000  0.00
Na: 0.500 0.000 0.500  0.00
Na: 0.000 0.000 0.500  0.00
Na: 0.500 0.500 0.000  0.00
Rh: 0.500 0.500 0.500  0.97
Rh: 0.000 0.000 0.000  0.97
O: 0.257 0.810 0.034  0.19
O: 0.690 0.243 0.466  0.19
O: 0.310 0.757 0.534  0.19
O: 0.743 0.190 0.966  0.19
O: 0.999 0.999 0.226  0.21
O: 0.501 0.501 0.274  0.21
O: 0.499 0.499 0.726  0.21
O: 0.001 0.001 0.774  0.21

Properties
calculated volume	263.43	Å³ per cell
ΔE_f (raw)	-0.976	eV/atom
N(E_F)	9.8	states/eV/cell

***

Entry 2:
Material: Rb3Na2RhO6
Method: DFT, PBE
State: relaxed

a = 6.065 Å, b = 6.065 Å, c = 6.478 Å
α = 98.88°, β = 98.88°, γ = 120.00°
Each line ends with the local moment (μB).
Positions (direct):
Rb: 0.174 0.826 0.500  0.01
Rb: 0.826 0.174 0.500  0.01
Rb: 0.500 0.500 0.500  0.01
Na: 0.333 0.667 0.000  0.01
Na: 0.667 0.333 0.000  0.01
Rh: 0.000 0.000 0.000  0.93
O: 0.938 0.669 0.821  0.06
O: 0.797 0.797 0.184  0.25
O: 0.062 0.331 0.179  0.06
O: 0.669 0.938 0.821  0.06
O: 0.203 0.203 0.816  0.25
O: 0.331 0.062 0.179  0.06

Properties
calculated volume	196.28	Å³ per cell
ΔE_f (raw)	-1.001	eV/atom
N(E_F)	10.4	states/eV/cell

***

Entry 3:
Material: Rb2Na3RhO6
Method: DFT, PBE
State: relaxed

a = 6.746 Å, b = 6.746 Å, c = 5.733 Å
α = 100.10°, β = 100.10°, γ = 123.65°
Each line ends with the local moment (μB).
Positions (direct):
Rb: 0.326 0.674 0.000  0.01
Rb: 0.674 0.326 0.000  0.01
Na: 0.125 0.875 0.500  0.01
Na: 0.875 0.125 0.500  0.01
Na: 0.500 0.500 0.500  0.01
Rh: 0.000 0.000 0.000  1.18
O: 0.924 0.692 0.770  0.28
O: 0.804 0.804 0.193  0.14
O: 0.076 0.308 0.230  0.28
O: 0.692 0.924 0.770  0.28
O: 0.196 0.196 0.807  0.14
O: 0.308 0.076 0.230  0.28

Properties
calculated volume	201.66	Å³ per cell
ΔE_f (raw)	-1.015	eV/atom
N(E_F)	11.4	states/eV/cell